(1)
A plane-wave DFT calculation with GGA-PBE was carried out for a geometry-optimized La3Ag4Pd2 structure.

a = 11.7609 Å, b = 4.4414 Å, c = 9.3937 Å
α = 90.00°, β = 117.12°, γ = 90.00°
Space group C2/m (No. 12)
One atom of each set of equivalent atoms:
La: 0.0000 0.0000 0.0000 (multiplicity 2)
La: 0.1846 0.5000 0.6338 (multiplicity 4)
Ag: 0.0119 0.0000 0.3555 (multiplicity 4)
Ag: 0.2360 0.5000 0.0781 (multiplicity 4)
Pd: 0.1088 0.5000 0.2663 (multiplicity 4)

## Properties
Total magnetization (μB/cell): 0.0
E (eV/atom): -4.537


(2)
A plane-wave DFT calculation with GGA-PBE was carried out for a geometry-optimized La11Ag9Pd4 structure.

a = 14.8031 Å, b = 22.1162 Å, c = 3.8603 Å
α = 90.00°, β = 90.00°, γ = 90.00°
Space group Cmmm (No. 65)
One atom of each set of equivalent atoms:
La: 0.0000 0.0000 0.0000 (multiplicity 2)
La: 0.0000 0.1667 0.0000 (multiplicity 4)
La: 0.0000 0.3677 0.0000 (multiplicity 4)
La: 0.2050 0.5000 0.0000 (multiplicity 4)
La: 0.2388 0.1723 0.0000 (multiplicity 8)
Ag: 0.0000 0.5000 0.5000 (multiplicity 2)
Ag: 0.1047 0.2645 0.5000 (multiplicity 8)
Ag: 0.1390 0.0735 0.5000 (multiplicity 8)
Pd: 0.1506 0.4010 0.5000 (multiplicity 8)

## Properties
Total magnetization (μB/cell): 0.0
E (eV/atom): -4.638


(3)
A plane-wave DFT calculation with GGA-PBE was carried out for a geometry-optimized LaAg2Pd structure.

a = 4.1235 Å, b = 4.1235 Å, c = 21.4618 Å
α = 90.00°, β = 90.00°, γ = 90.00°
Space group I-42d (No. 122)
One atom of each set of equivalent atoms:
La: 0.0000 0.0000 0.0000 (multiplicity 4)
Ag: 0.2232 0.2500 0.6250 (multiplicity 8)
Pd: 0.0000 0.0000 0.5000 (multiplicity 4)

## Properties
Total magnetization (μB/cell): 0.0
E (eV/atom): -4.193


(4)
A plane-wave DFT calculation with GGA-PBE was carried out for a geometry-optimized La2AgPd2 structure.

a = 7.8573 Å, b = 7.8573 Å, c = 3.9762 Å
α = 90.00°, β = 90.00°, γ = 90.00°
Space group P4/mbm (No. 127)
One atom of each set of equivalent atoms:
La: 0.1739 0.3261 0.0000 (multiplicity 4)
Ag: 0.0000 0.0000 0.5000 (multiplicity 2)
Pd: 0.1291 0.6291 0.5000 (multiplicity 4)

## Properties
Energy above the most stable polymorph in this dataset (kJ/mol of atoms): 0.0
Total magnetization (μB/cell): 0.0


(5)
A plane-wave DFT calculation with GGA-PBE was carried out for a geometry-optimized LaAg3Pd structure.

a = 5.4435 Å, b = 5.6216 Å, c = 7.4407 Å
α = 90.00°, β = 109.92°, γ = 90.00°
Space group P2_1/m (No. 11)
One atom of each set of equivalent atoms:
La: 0.2280 0.2500 0.1475 (multiplicity 2)
Ag: 0.1982 0.0070 0.6836 (multiplicity 4)
Ag: 0.3396 0.7500 0.3992 (multiplicity 2)
Pd: 0.3603 0.7500 0.0342 (multiplicity 2)

## Properties
Energy above the most stable polymorph in this dataset (kJ/mol of atoms): 0.0
Total magnetization (μB/cell): 0.0


(6)
A plane-wave DFT calculation with GGA-PBE was carried out for a geometry-optimized LaAgPd2 structure.

a = 4.4818 Å, b = 4.4818 Å, c = 3.9911 Å
α = 90.00°, β = 90.00°, γ = 90.00°
Space group P4/mmm (No. 123)
One atom of each set of equivalent atoms:
La: 0.0000 0.0000 0.0000 (multiplicity 1)
Ag: 0.5000 0.5000 0.0000 (multiplicity 1)
Pd: 0.0000 0.5000 0.5000 (multiplicity 2)

## Properties
Energy above the most stable polymorph in this dataset (kJ/mol of atoms): 1.3
Total magnetization (μB/cell): 0.0


(7)
A plane-wave DFT calculation with GGA-PBE was carried out for a geometry-optimized La6AgPd5 structure.

a = 16.4922 Å, b = 7.4390 Å, c = 5.2156 Å
α = 90.00°, β = 108.16°, γ = 90.00°
Space group C2/m (No. 12)
One atom of each set of equivalent atoms:
La: 0.0000 0.2400 0.0000 (multiplicity 4)
La: 0.1724 0.2449 0.6724 (multiplicity 8)
Ag: 0.0000 0.5000 0.5000 (multiplicity 2)
Pd: 0.0000 0.0000 0.5000 (multiplicity 2)
Pd: 0.1554 0.5000 0.1549 (multiplicity 4)
Pd: 0.1657 0.0000 0.1652 (multiplicity 4)

## Properties
Total magnetization (μB/cell): 0.0
E (eV/atom): -5.532


(8)
A plane-wave DFT calculation with GGA-PBE was carried out for a geometry-optimized LaAg2Pd4 structure.

a = 8.8374 Å, b = 6.8728 Å, c = 5.4923 Å
α = 90.00°, β = 128.13°, γ = 90.00°
Space group C2/m (No. 12)
One atom of each set of equivalent atoms:
La: 0.0000 0.0000 0.0000 (multiplicity 2)
Ag: 0.0000 0.5000 0.2494 (multiplicity 4)
Pd: 0.1991 0.1997 0.6993 (multiplicity 8)

## Properties
Total magnetization (μB/cell): 0.0
E (eV/atom): -4.913


(9)
A plane-wave DFT calculation with GGA-PBE was carried out for a geometry-optimized LaPmAgPd structure.

a = 4.8644 Å, b = 3.9474 Å, c = 11.0175 Å
α = 90.00°, β = 90.00°, γ = 90.00°
Space group Amm2 (No. 38)
One atom of each set of equivalent atoms:
La: 0.0000 0.0000 0.0000 (multiplicity 2)
Pm: 0.5000 0.0000 0.7233 (multiplicity 2)
Ag: 0.5000 0.0000 0.4397 (multiplicity 2)
Pd: 0.0000 0.0000 0.2768 (multiplicity 2)

## Properties
Energy above the most stable polymorph in this dataset (kJ/mol of atoms): 0.0
Total magnetization (μB/cell): 0.0


(10)
A plane-wave DFT calculation with GGA-PBE was carried out for a geometry-optimized LaPmAgPd structure.

a = 7.4204 Å, b = 7.4204 Å, c = 7.4204 Å
α = 90.00°, β = 90.00°, γ = 90.00°
Space group F-43m (No. 216)
One atom of each set of equivalent atoms:
La: 0.0000 0.0000 0.0000 (multiplicity 4)
Pm: 0.0000 0.0000 0.5000 (multiplicity 4)
Ag: 0.2500 0.2500 0.7500 (multiplicity 4)
Pd: 0.2500 0.2500 0.2500 (multiplicity 4)

## Properties
Energy above the most stable polymorph in this dataset (kJ/mol of atoms): 3.0
Total magnetization (μB/cell): 0.0


(11)
A plane-wave DFT calculation with GGA-PBE was carried out for a geometry-optimized LaPrAgPd structure.

a = 7.4693 Å, b = 7.4693 Å, c = 7.4693 Å
α = 90.00°, β = 90.00°, γ = 90.00°
Space group F-43m (No. 216)
One atom of each set of equivalent atoms:
La: 0.0000 0.0000 0.0000 (multiplicity 4)
Pr: 0.0000 0.0000 0.5000 (multiplicity 4)
Ag: 0.2500 0.2500 0.2500 (multiplicity 4)
Pd: 0.2500 0.2500 0.7500 (multiplicity 4)

## Properties
Energy above the most stable polymorph in this dataset (kJ/mol of atoms): 3.9
Total magnetization (μB/cell): 0.0


(12)
A plane-wave DFT calculation with GGA-PBE was carried out for a geometry-optimized LaPrAgPd structure.

a = 4.7861 Å, b = 3.9737 Å, c = 11.3369 Å
α = 90.00°, β = 90.00°, γ = 90.00°
Space group Amm2 (No. 38)
One atom of each set of equivalent atoms:
La: 0.0000 0.0000 0.0000 (multiplicity 2)
Pr: 0.5000 0.0000 0.7242 (multiplicity 2)
Ag: 0.0000 0.0000 0.2824 (multiplicity 2)
Pd: 0.5000 0.0000 0.4458 (multiplicity 2)

## Properties
Energy above the most stable polymorph in this dataset (kJ/mol of atoms): 0.0
Total magnetization (μB/cell): 0.0